# 1
# LaPrAl, relaxed, DFT PBE-GGA
data_LaPrAl
_chemical_formula_sum 'La4 Pr4 Al4'
_space_group_name_H-M_alt 'F -4 3 m'
_space_group_IT_number 216
_space_group_name_Hall 'F -4 2 3'
_cell_length_a 7.278
_cell_length_b 7.278
_cell_length_c 7.278
_cell_angle_alpha 90.00
_cell_angle_beta 90.00
_cell_angle_gamma 90.00
loop_
_atom_site_label
_atom_site_type_symbol
_atom_site_fract_x
_atom_site_fract_y
_atom_site_fract_z
La1 La 0.000 0.000 0.000
Pr1 Pr 0.250 0.250 0.750
Al1 Al 0.000 0.000 0.500
# E_tot ... -0.304 Ry per atom



# 2
# PmGaPd, relaxed, DFT PBE-GGA
data_PmGaPd
_chemical_formula_sum 'Pm4 Ga4 Pd4'
_space_group_name_H-M_alt 'F -4 3 m'
_space_group_IT_number 216
_space_group_name_Hall 'F -4 2 3'
_cell_length_a 6.792
_cell_length_b 6.792
_cell_length_c 6.792
_cell_angle_alpha 90.00
_cell_angle_beta 90.00
_cell_angle_gamma 90.00
loop_
_atom_site_label
_atom_site_type_symbol
_atom_site_fract_x
_atom_site_fract_y
_atom_site_fract_z
Pm1 Pm 0.000 0.000 0.000
Ga1 Ga 0.250 0.250 0.750
Pd1 Pd 0.250 0.250 0.250
# E_tot ... -0.326 Ry per atom



# 3
# MgCuAsPt, relaxed, DFT PBE-GGA
data_MgCuAsPt
_chemical_formula_sum 'Mg4 Cu4 As4 Pt4'
_space_group_name_H-M_alt 'F -4 3 m'
_space_group_IT_number 216
_space_group_name_Hall 'F -4 2 3'
_cell_length_a 6.293
_cell_length_b 6.293
_cell_length_c 6.293
_cell_angle_alpha 90.00
_cell_angle_beta 90.00
_cell_angle_gamma 90.00
loop_
_atom_site_label
_atom_site_type_symbol
_atom_site_fract_x
_atom_site_fract_y
_atom_site_fract_z
Mg1 Mg 0.000 0.000 0.000
Cu1 Cu 0.250 0.250 0.250
As1 As 0.000 0.000 0.500
Pt1 Pt 0.250 0.250 0.750
# E_tot ... -0.313 Ry per atom



# 4
# Ho3TmGa2C2, relaxed, DFT PBE-GGA
data_Ho3TmGa2C2
_chemical_formula_sum 'Ho3 Tm1 Ga2 C2'
_space_group_name_H-M_alt 'P 3 m 1'
_space_group_IT_number 156
_space_group_name_Hall 'P 3 -2"'
_cell_length_a 3.5443
_cell_length_b 3.5443
_cell_length_c 15.4251
_cell_angle_alpha 90.00
_cell_angle_beta 90.00
_cell_angle_gamma 120.00
loop_
_atom_site_label
_atom_site_type_symbol
_atom_site_fract_x
_atom_site_fract_y
_atom_site_fract_z
Ho1 Ho 0.0000 0.0000 0.0000
Ho2 Ho 0.0000 0.0000 0.3265
Ho3 Ho 0.3333 0.6667 0.8239
Tm1 Tm 0.3333 0.6667 0.5006
Ga1 Ga 0.0000 0.0000 0.6611
Ga2 Ga 0.3333 0.6667 0.1629
C1 C 0.6667 0.3333 0.4137
C2 C 0.6667 0.3333 0.9124
# E_tot ... -0.420 Ry per atom



# 5
# TmTePb, relaxed, DFT PBE-GGA
data_TmTePb
_chemical_formula_sum 'Tm4 Te4 Pb4'
_space_group_name_H-M_alt 'F -4 3 m'
_space_group_IT_number 216
_space_group_name_Hall 'F -4 2 3'
_cell_length_a 7.339
_cell_length_b 7.339
_cell_length_c 7.339
_cell_angle_alpha 90.00
_cell_angle_beta 90.00
_cell_angle_gamma 90.00
loop_
_atom_site_label
_atom_site_type_symbol
_atom_site_fract_x
_atom_site_fract_y
_atom_site_fract_z
Tm1 Tm 0.000 0.000 0.000
Te1 Te 0.250 0.250 0.250
Pb1 Pb 0.250 0.250 0.750
# E_tot ... -0.299 Ry per atom



# 6
# NdHoZn6, relaxed, DFT PBE-GGA
data_NdHoZn6
_chemical_formula_sum 'Nd1 Ho1 Zn6'
_space_group_name_H-M_alt 'P m m 2'
_space_group_IT_number 25
_space_group_name_Hall 'P 2 -2'
_cell_length_a 4.717
_cell_length_b 6.672
_cell_length_c 4.717
_cell_angle_alpha 90.00
_cell_angle_beta 90.00
_cell_angle_gamma 90.00
loop_
_atom_site_label
_atom_site_type_symbol
_atom_site_fract_x
_atom_site_fract_y
_atom_site_fract_z
Nd1 Nd 0.000 0.000 0.000
Ho1 Ho 0.500 0.500 0.495
Zn1 Zn 0.000 0.261 0.501
Zn2 Zn 0.000 0.500 0.999
Zn3 Zn 0.500 0.000 0.497
Zn4 Zn 0.500 0.261 0.994
# Energy of formation from the pure elements ... -283 meV/atom



# 7
# Ga2SiNi, relaxed, DFT PBE-GGA
data_Ga2SiNi
_chemical_formula_sum 'Ga8 Si4 Ni4'
_space_group_name_H-M_alt 'F -4 3 m'
_space_group_IT_number 216
_space_group_name_Hall 'F -4 2 3'
_cell_length_a 6.266
_cell_length_b 6.266
_cell_length_c 6.266
_cell_angle_alpha 90.00
_cell_angle_beta 90.00
_cell_angle_gamma 90.00
loop_
_atom_site_label
_atom_site_type_symbol
_atom_site_fract_x
_atom_site_fract_y
_atom_site_fract_z
Ga1 Ga 0.000 0.000 0.000
Ga2 Ga 0.250 0.250 0.250
Si1 Si 0.000 0.000 0.500
Ni1 Ni 0.250 0.250 0.750
# E_tot ... -0.302 Ry per atom



# 8
# KPIrO, relaxed, DFT PBE-GGA
data_KPIrO
_chemical_formula_sum 'K2 P2 Ir2 O2'
_space_group_name_H-M_alt 'P 4/n m m'
_space_group_IT_number 129
_cell_length_a 3.635
_cell_length_b 3.635
_cell_length_c 9.152
_cell_angle_alpha 90.00
_cell_angle_beta 90.00
_cell_angle_gamma 90.00
loop_
_space_group_symop_operation_xyz
'x,y,z'
'-x,-y,-z'
'-y+1/2,x,z'
'y+1/2,-x,-z'
'-x+1/2,-y+1/2,z'
'x+1/2,y+1/2,-z'
'y,-x+1/2,z'
'-y,x+1/2,-z'
'x+1/2,-y,-z'
'-x+1/2,y,z'
'-y,-x,-z'
'y,x,z'
'-x,y+1/2,-z'
'x,-y+1/2,z'
'y+1/2,x+1/2,-z'
'-y+1/2,-x+1/2,z'
loop_
_atom_site_label
_atom_site_type_symbol
_atom_site_fract_x
_atom_site_fract_y
_atom_site_fract_z
K1 K 0.250 0.750 0.000
P1 P 0.250 0.250 0.262
Ir1 Ir 0.250 0.250 0.640
O1 O 0.250 0.750 0.500
# E_tot ... -0.333 Ry per atom



Total moment for every record listed, in sequence, given in μB per formula unit: 0.33, 0.01, 0.00, 0.51, 0.00, 0.01, 0.00, 0.02.